A plane-wave DFT calculation with PBE-GGA was carried out for a relaxed structure of Pr2NdTe.

The energy relative to the lowest polymorph listed for this composition comes out at 0 meV/atom. Its energy relative to the elements, uncorrected is -0.69 eV per atom. The calculation puts the total energy at -5.06 eV per atom.

The space group is Cmcm (No. 63) and the conventional cell measures 4.120, 12.394 and 10.381 Å, with angles of 90.00, 90.00 and 90.00 degrees. The distinct sites, in fractional coordinates, are Pr at (0.000, 0.136, 0.037), Nd at (0.000, 0.440, 0.250) and Te at (0.000, 0.268, 0.750).